Material: Li7Mn2Co3O12
Method: DFT, PBE with a Hubbard U
State: relaxed

The structure in POSCAR format:
```
Li7Mn2Co3O12
1.0
5.866 0.000 0.000
0.270 5.893 0.000
1.482 1.560 6.091
Li Mn Co O
7 2 3 12
Cartesian
0.000 0.000 0.000 Li
0.154 2.954 0.040 Li
1.444 1.441 2.013 Li
3.134 6.033 4.169 Li
3.081 2.994 0.005 Li
4.471 1.514 1.941 Li
6.130 5.999 4.123 Li
4.602 4.522 2.056 Mn
5.982 3.001 4.114 Mn
1.636 4.478 2.015 Co
3.018 2.989 4.112 Co
2.941 0.031 0.046 Co
1.432 1.636 4.022 O
1.585 4.312 3.995 O
1.684 4.447 0.158 O
3.129 2.960 6.000 O
3.108 3.208 2.174 O
3.275 5.925 2.030 O
4.492 1.719 4.154 O
4.639 4.455 3.995 O
4.501 4.549 0.145 O
5.975 3.079 5.974 O
5.862 3.044 2.126 O
6.074 5.751 2.061 O
```

Calculated values
**SG**: No. 1
**Excess energy over the best structure of this formula in the dataset**: 29 meV per atom